Record 1
A geometry-optimized KRbSiS3 structure, computed with GGA-PBE.

Summary:
**Space group**: C2/m (12)
**ΔE_f (raw)**: -1.04 eV per atom
**Volume**: 35.5 Å³/atom
**Magnetization**: 0.0 μB/f.u.

Cell: 6.645 6.645 9.656 Å, 91.32 91.32 92.64°
Fractional coordinates of all 12 atoms:
K1 0.232 0.768 0.000
K2 0.768 0.232 0.000
Rb1 0.308 0.308 0.380
Rb2 0.692 0.692 0.620
Si1 0.324 0.324 0.791
Si2 0.676 0.676 0.209
S1 0.185 0.550 0.692
S2 0.259 0.259 0.993
S3 0.450 0.815 0.308
S4 0.550 0.185 0.692
S5 0.741 0.741 0.007
S6 0.815 0.450 0.308

***

Record 2
A geometry-optimized K2RbSiS4 structure, computed with GGA-PBE.

Summary:
**Space group**: I-42m (121)
**ΔE_f (raw)**: -0.94 eV per atom
**Volume**: 32.9 Å³/atom
**Magnetization**: 1.1 μB/f.u.

Cell: 6.999 6.999 6.999 Å, 111.49 111.49 105.50°
Fractional coordinates of all 8 atoms:
K1 0.250 0.750 0.500
K2 0.750 0.250 0.500
Rb1 0.000 0.000 0.000
Si1 0.500 0.500 0.000
S1 0.202 0.521 0.000
S2 0.479 0.479 0.681
S3 0.521 0.202 0.000
S4 0.798 0.798 0.319

***

Record 3
A geometry-optimized KRbSnS2 structure, computed with GGA-PBE.

Summary:
**Space group**: C2/m (12)
**ΔE_f (raw)**: -0.87 eV per atom
**Volume**: 35.1 Å³/atom
**Magnetization**: 0.0 μB/f.u.

Cell: 7.471 7.471 12.352 Å, 106.34 106.34 32.15°
Fractional coordinates of all 10 atoms:
K1 0.146 0.146 0.027
K2 0.854 0.854 0.973
Rb1 0.155 0.155 0.637
Rb2 0.845 0.845 0.363
Sn1 0.459 0.459 0.785
Sn2 0.541 0.541 0.215
S1 0.087 0.087 0.353
S2 0.361 0.361 0.166
S3 0.639 0.639 0.834
S4 0.913 0.913 0.647

***

Record 4
A geometry-optimized K2RbSnS4 structure, computed with GGA-PBE.

Summary:
**Space group**: I-42m (121)
**ΔE_f (raw)**: -0.78 eV per atom
**Volume**: 35.4 Å³/atom
**Magnetization**: 1.1 μB/f.u.

Cell: 7.173 7.173 7.173 Å, 111.01 111.01 106.44°
Fractional coordinates of all 8 atoms:
K1 0.250 0.750 0.500
K2 0.750 0.250 0.500
Rb1 0.000 0.000 0.000
Sn1 0.500 0.500 0.000
S1 0.170 0.170 0.649
S2 0.478 0.830 0.000
S3 0.522 0.522 0.351
S4 0.830 0.478 0.000

***

Record 5
A geometry-optimized KRb5Zn4Sn5S17 structure, computed with GGA-PBE.

Summary:
**Space group**: P1 (1)
**ΔE_f (raw)**: -0.82 eV per atom
**Volume**: 31.3 Å³/atom
**Magnetization**: 0.0 μB/f.u.

Cell: 10.032 11.180 11.184 Å, 78.30 63.37 63.35°
Fractional coordinates of all 32 atoms:
K1 0.000 0.000 0.000
Rb1 0.258 0.002 0.485
Rb2 0.264 0.485 0.989
Rb3 0.738 0.515 0.011
Rb4 0.745 0.998 0.515
Rb5 0.836 0.501 0.499
Zn1 0.229 0.137 0.134
Zn2 0.500 0.863 0.866
Zn3 0.635 0.866 0.137
Zn4 0.638 0.134 0.862
Sn1 0.262 0.500 0.500
Sn2 0.282 0.781 0.224
Sn3 0.287 0.219 0.776
Sn4 0.497 0.226 0.220
Sn5 0.943 0.774 0.779
S1 0.084 0.008 0.273
S2 0.086 0.273 0.002
S3 0.117 0.648 0.363
S4 0.128 0.352 0.637
S5 0.214 0.282 0.274
S6 0.243 0.642 0.652
S7 0.362 0.727 0.998
S8 0.365 0.991 0.727
S9 0.500 0.000 0.000
S10 0.506 0.726 0.282
S11 0.513 0.274 0.718
S12 0.536 0.358 0.349
S13 0.641 0.998 0.273
S14 0.645 0.273 0.991
S15 0.769 0.718 0.726
S16 0.909 0.727 0.008
S17 0.912 0.002 0.727

***

Record 6
A geometry-optimized K2RbSrS structure, computed with GGA-PBE.

Summary:
**Space group**: P4/mmm (123)
**ΔE_f (raw)**: -0.59 eV per atom
**Volume**: 52.1 Å³/atom
**Polymorph energy (0 for the lowest one)**: 0.000 eV/atom
**Magnetization**: 0.0 μB/f.u.

Cell: 6.707 6.707 5.795 Å, 90.00 90.00 90.00°
Fractional coordinates of all 5 atoms:
K1 0.000 0.500 0.000
K2 0.500 0.000 0.000
Rb1 0.000 0.000 0.500
Sr1 0.500 0.500 0.500
S1 0.500 0.500 0.000